Entry 1:
A plane-wave DFT calculation with PBE-GGA was carried out for a relaxed Na2LaPCl crystal.

POSCAR file:
```
Na2LaPCl
1.0
4.664 0.000 0.000
0.000 4.664 0.000
0.000 0.000 7.706
Na La P Cl
2 1 1 1
direct
0.000 0.500 0.000
0.500 0.000 0.000
0.000 0.000 0.500
0.500 0.500 0.500
0.500 0.500 0.000
```

Summary:
The space group is P4/mmm, No. 123. Its final energy is -17.26 eV per formula unit. The raw formation energy comes out at -0.49 eV/atom. The value obtained for the total magnetic moment is 0.15 μB/atom.



Entry 2:
A plane-wave DFT calculation with PBE-GGA was carried out for a relaxed NaLaP2Cl crystal.

POSCAR file:
```
NaLaP2Cl
1.0
4.851 0.000 0.000
0.000 4.851 0.000
0.000 0.000 4.993
Na La P Cl
1 1 2 1
direct
0.000 0.000 0.000
0.500 0.500 0.500
0.000 0.500 0.000
0.500 0.000 0.000
0.000 0.000 0.500
```

Summary:
The space group is P4/mmm, No. 123. Its final energy is -20.23 eV per formula unit. The calculation puts the energy above the lowest structure with this stoichiometry at 0.43 eV/f.u. The raw formation energy comes out at -0.26 eV/atom. The value obtained for the total magnetic moment is 0.00 μB/atom.



Entry 3:
A plane-wave DFT calculation with PBE-GGA was carried out for a relaxed NaLaP2Cl crystal.

POSCAR file:
```
NaLaP2Cl
1.0
5.603 0.000 0.000
0.000 5.603 0.000
0.000 0.000 5.638
Na La P Cl
1 1 2 1
direct
0.000 0.000 0.000
0.500 0.500 0.500
0.000 0.500 0.500
0.500 0.000 0.500
0.500 0.500 0.000
```

Summary:
The space group is P4/mmm, No. 123. Its final energy is -20.66 eV per formula unit. The calculation puts the energy above the lowest structure with this stoichiometry at 0.00 eV/f.u. The raw formation energy comes out at -0.35 eV/atom. The value obtained for the total magnetic moment is 0.17 μB/atom.



Entry 4:
A plane-wave DFT calculation with PBE-GGA was carried out for a relaxed Na2LaPbCl crystal.

POSCAR file:
```
Na2LaPbCl
1.0
5.062 0.000 0.000
0.000 5.062 0.000
0.000 0.000 5.839
Na La Pb Cl
2 1 1 1
direct
0.000 0.500 0.000
0.500 0.000 0.000
0.000 0.000 0.500
0.500 0.500 0.500
0.000 0.000 0.000
```

Summary:
The space group is P4/mmm, No. 123. Its final energy is -16.83 eV per formula unit. The raw formation energy comes out at -0.74 eV/atom. The value obtained for the total magnetic moment is 0.00 μB/atom.



Entry 5:
A plane-wave DFT calculation with PBE-GGA was carried out for a relaxed Rb2NaLaCl6 crystal.

POSCAR file:
```
Rb2NaLaCl6
1.0
0.000 5.528 5.528
5.528 0.000 5.528
5.528 5.528 0.000
Rb Na La Cl
2 1 1 6
direct
0.250 0.250 0.250
0.750 0.750 0.750
0.000 0.000 0.000
0.500 0.500 0.500
0.250 0.250 0.750
0.250 0.750 0.250
0.250 0.750 0.750
0.750 0.250 0.250
0.750 0.250 0.750
0.750 0.750 0.250
```

Summary:
The space group is Fm-3m, No. 225. Its final energy is -40.31 eV per formula unit. The raw formation energy comes out at -2.11 eV/atom. The value obtained for the total magnetic moment is 0.00 μB/atom.



Entry 6:
A plane-wave DFT calculation with PBE-GGA was carried out for a relaxed RbNaLaCl5 crystal.

POSCAR file:
```
RbNaLaCl5
1.0
4.609 -6.545 0.000
4.609 6.545 0.000
-4.035 0.000 9.811
Rb Na La Cl
2 2 2 10
direct
0.160 0.840 0.750
0.840 0.160 0.250
0.187 0.813 0.250
0.813 0.187 0.750
0.500 0.500 0.000
0.500 0.500 0.500
0.135 0.241 0.932
0.198 0.587 0.401
0.241 0.135 0.432
0.413 0.802 0.099
0.422 0.578 0.750
0.578 0.422 0.250
0.587 0.198 0.901
0.759 0.865 0.568
0.802 0.413 0.599
0.865 0.759 0.068
```

Summary:
The space group is C2/c, No. 15. Its final energy is -33.50 eV per formula unit. The raw formation energy comes out at -2.13 eV/atom. The value obtained for the total magnetic moment is 0.00 μB/atom.



Entry 7:
A plane-wave DFT calculation with PBE-GGA was carried out for a relaxed NaLaSCl2 crystal.

POSCAR file:
```
NaLaSCl2
1.0
4.748 0.000 0.000
0.000 4.748 0.000
0.000 0.000 5.309
Na La S Cl
1 1 1 2
direct
0.000 0.000 0.000
0.500 0.500 0.500
0.000 0.000 0.500
0.000 0.500 0.000
0.500 0.000 0.000
```

Summary:
The space group is P4/mmm, No. 123. Its final energy is -21.29 eV per formula unit. The calculation puts the energy above the lowest structure with this stoichiometry at 1.72 eV/f.u. The raw formation energy comes out at -1.44 eV/atom. The value obtained for the total magnetic moment is 0.00 μB/atom.



Entry 8:
A plane-wave DFT calculation with PBE-GGA was carried out for a relaxed NaLaSCl2 crystal.

POSCAR file:
```
NaLaSCl2
1.0
5.625 0.000 0.000
0.000 5.625 0.000
0.000 0.000 5.507
Na La S Cl
1 1 1 2
direct
0.000 0.000 0.000
0.500 0.500 0.500
0.500 0.500 0.000
0.000 0.500 0.500
0.500 0.000 0.500
```

Summary:
The space group is P4/mmm, No. 123. Its final energy is -23.01 eV per formula unit. The calculation puts the energy above the lowest structure with this stoichiometry at 0.00 eV/f.u. The raw formation energy comes out at -1.79 eV/atom. The value obtained for the total magnetic moment is 0.00 μB/atom.



Entry 9:
A plane-wave DFT calculation with PBE-GGA was carried out for a relaxed NaLaSn2Cl8 crystal.

POSCAR file:
```
NaLaSn2Cl8
1.0
6.587 0.000 0.000
0.135 6.780 0.000
0.010 0.008 8.615
Na La Sn Cl
1 1 2 8
direct
0.000 0.000 0.000
0.000 0.000 0.500
0.500 0.500 0.238
0.500 0.500 0.762
0.222 0.832 0.253
0.224 0.834 0.747
0.260 0.322 0.498
0.284 0.335 0.002
0.716 0.665 0.998
0.740 0.678 0.502
0.776 0.166 0.253
0.778 0.168 0.747
```

Summary:
The space group is P-1, No. 2. Its final energy is -48.04 eV per formula unit. The raw formation energy comes out at -1.58 eV/atom. The value obtained for the total magnetic moment is 0.00 μB/atom.



Entry 10:
A plane-wave DFT calculation with PBE-GGA was carried out for a relaxed Na2LaTbCl8 crystal.

POSCAR file:
```
Na2LaTbCl8
1.0
6.560 0.000 0.000
0.000 8.494 0.000
-0.393 0.000 6.599
Na La Tb Cl
2 1 1 8
direct
0.000 0.244 0.000
0.000 0.756 0.000
0.500 0.500 0.500
0.500 0.000 0.500
0.205 0.500 0.192
0.215 0.000 0.204
0.307 0.238 0.680
0.307 0.762 0.680
0.693 0.238 0.320
0.693 0.762 0.320
0.785 0.000 0.796
0.795 0.500 0.808
```

Summary:
The space group is P2/m, No. 10. Its final energy is -52.72 eV per formula unit. The raw formation energy comes out at -2.15 eV/atom. The value obtained for the total magnetic moment is 0.00 μB/atom.



Entry 11:
A plane-wave DFT calculation with PBE-GGA was carried out for a relaxed NaLaTlCl5 crystal.

POSCAR file:
```
NaLaTlCl5
1.0
4.482 -6.603 0.000
4.482 6.603 0.000
-3.765 0.000 9.667
Na La Tl Cl
2 2 2 10
direct
0.187 0.813 0.750
0.813 0.187 0.250
0.500 0.500 0.000
0.500 0.500 0.500
0.137 0.863 0.250
0.863 0.137 0.750
0.126 0.237 0.441
0.191 0.561 0.882
0.237 0.126 0.941
0.412 0.588 0.250
0.439 0.809 0.618
0.561 0.191 0.382
0.588 0.412 0.750
0.763 0.874 0.059
0.809 0.439 0.118
0.874 0.763 0.559
```

Summary:
The space group is C2/c, No. 15. Its final energy is -32.90 eV per formula unit. The raw formation energy comes out at -1.88 eV/atom. The value obtained for the total magnetic moment is 0.00 μB/atom.



Entry 12:
A plane-wave DFT calculation with PBE-GGA was carried out for a relaxed Na2LaTmCl8 crystal.

POSCAR file:
```
Na2LaTmCl8
1.0
6.542 0.000 0.000
0.000 8.408 0.000
-0.400 0.000 6.588
Na La Tm Cl
2 1 1 8
direct
0.000 0.242 0.000
0.000 0.758 0.000
0.500 0.500 0.500
0.500 0.000 0.500
0.204 0.500 0.191
0.220 0.000 0.208
0.308 0.234 0.679
0.308 0.766 0.679
0.692 0.234 0.321
0.692 0.766 0.321
0.780 0.000 0.792
0.796 0.500 0.809
```

Summary:
The space group is P2/m, No. 10. Its final energy is -52.55 eV per formula unit. The raw formation energy comes out at -2.15 eV/atom. The value obtained for the total magnetic moment is 0.00 μB/atom.